# 1
The following is a DFT calculation (PBE) of a geometry-optimized NaPr4Hg5 structure.

Summary:
- M_tot (μB per formula unit) = 1.26
- crystal system = tetragonal
- calculated total energy (eV per atom) = -2.615

a = 3.840 Å, b = 3.840 Å, c = 19.309 Å
α = 90.00°, β = 90.00°, γ = 90.00°
Space group P4/mmm (No. 123)
Symmetry-distinct sites (fractional):
1 Na 0.000 0.000 0.000 [1 per cell]
2 Pr 0.000 0.000 0.198 [2 per cell]
3 Pr 0.000 0.000 0.399 [2 per cell]
4 Hg 0.500 0.500 0.100 [2 per cell]
5 Hg 0.500 0.500 0.299 [2 per cell]
6 Hg 0.500 0.500 0.500 [1 per cell]



# 2
The following is a DFT calculation (PBE) of a geometry-optimized LiCaCeIn structure.

Summary:
- M_tot (μB per formula unit) = 0.97
- crystal system = cubic
- calculated total energy (eV per atom) = -3.313

a = 7.690 Å, b = 7.690 Å, c = 7.690 Å
α = 90.00°, β = 90.00°, γ = 90.00°
Space group F-43m (No. 216)
Symmetry-distinct sites (fractional):
1 Li 0.000 0.000 0.000 [4 per cell]
2 Ca 0.250 0.250 0.750 [4 per cell]
3 Ce 0.250 0.250 0.250 [4 per cell]
4 In 0.000 0.000 0.500 [4 per cell]



# 3
The following is a DFT calculation (PBE) of a geometry-optimized V2FeTc structure.

Summary:
- M_tot (μB per formula unit) = 0.80
- crystal system = tetragonal
- calculated total energy (eV per atom) = -9.496

a = 2.980 Å, b = 2.980 Å, c = 5.835 Å
α = 90.00°, β = 90.00°, γ = 90.00°
Space group P4/mmm (No. 123)
Symmetry-distinct sites (fractional):
1 V 0.000 0.000 0.243 [2 per cell]
2 Fe 0.500 0.500 0.000 [1 per cell]
3 Tc 0.500 0.500 0.500 [1 per cell]